# 1
DFT (PBE) results for an optimized crystal structure of LiNdPdAu.

Cell and atoms, written as POSCAR:
```
LiNdPdAu
1.0
2.232 1.288 4.852
-2.232 1.288 4.852
0.000 -2.577 4.852
Li Nd Pd Au
1 1 1 1
direct
0.000 0.000 0.000 Li
0.496 0.496 0.496 Nd
0.713 0.713 0.713 Pd
0.283 0.283 0.283 Au
```

## Properties
Offset from the most stable computed form = 0 meV/atom
Calculated formation energy = -677 meV per atom
Magnetic moment = 0.00 μB per formula unit



# 2
DFT (PBE) results for an optimized crystal structure of LiNdPdAu.

Cell and atoms, written as POSCAR:
```
LiNdPdAu
1.0
0.000 3.482 3.482
3.482 0.000 3.482
3.482 3.482 0.000
Li Nd Pd Au
1 1 1 1
direct
0.000 0.000 0.000 Li
0.500 0.500 0.500 Nd
0.750 0.750 0.750 Pd
0.250 0.250 0.250 Au
```

## Properties
Offset from the most stable computed form = 72 meV/atom
Calculated formation energy = -605 meV per atom
Magnetic moment = 0.00 μB per formula unit